(1)
First-principles (GGA-PBE) data for a geometry-optimized NbCd2Br structure, as listed in Alexandria.

Summary:
Energy above the lowest structure with this stoichiometry   277 meV per atom
Uncorrected energy   -2.60 eV/atom
V   391.60 Å³ per cell

a = 7.316 Å, b = 7.316 Å, c = 7.316 Å
α = 90.00°, β = 90.00°, γ = 90.00°
Space group Fm-3m (No. 225)
One atom of each set of equivalent atoms:
1 Nb 0.000 0.000 0.000 (multiplicity 4)
2 Cd 0.250 0.250 0.250 (multiplicity 8)
3 Br 0.000 0.000 0.500 (multiplicity 4)



(2)
First-principles (GGA-PBE) data for a geometry-optimized YGe2O structure, as listed in Alexandria.

Summary:
Uncorrected energy   -5.58 eV/atom
V   314.02 Å³ per cell

a = 6.567 Å, b = 6.567 Å, c = 7.281 Å
α = 90.00°, β = 90.00°, γ = 90.00°
Space group I-42d (No. 122)
One atom of each set of equivalent atoms:
1 Y 0.000 0.000 0.000 (multiplicity 4)
2 Ge 0.145 0.250 0.625 (multiplicity 8)
3 O 0.000 0.000 0.500 (multiplicity 4)



(3)
First-principles (GGA-PBE) data for a geometry-optimized SrCd4In structure, as listed in Alexandria.

Summary:
Energy above the lowest structure with this stoichiometry   29 meV per atom
Uncorrected energy   -1.53 eV/atom
V   643.09 Å³ per cell

a = 8.632 Å, b = 8.632 Å, c = 8.632 Å
α = 90.00°, β = 90.00°, γ = 90.00°
Space group F-43m (No. 216)
One atom of each set of equivalent atoms:
1 Sr 0.000 0.000 0.000 (multiplicity 4)
2 Cd 0.125 0.125 0.375 (multiplicity 16)
3 In 0.250 0.250 0.750 (multiplicity 4)



(4)
First-principles (GGA-PBE) data for a geometry-optimized Y2LuPb structure, as listed in Alexandria.

Summary:
Energy above the lowest structure with this stoichiometry   307 meV per atom
Uncorrected energy   -5.24 eV/atom
V   386.61 Å³ per cell

a = 3.5309 Å, b = 3.5309 Å, c = 35.8069 Å
α = 90.00°, β = 90.00°, γ = 120.00°
Space group R-3m (No. 166, hexagonal axes)
One atom of each set of equivalent atoms:
1 Y 0.0000 0.0000 0.0887 (multiplicity 6)
2 Lu 0.0000 0.0000 0.5000 (multiplicity 3)
3 Pb 0.0000 0.0000 0.0000 (multiplicity 3)



(5)
First-principles (GGA-PBE) data for a geometry-optimized In6HgSe8 structure, as listed in Alexandria.

Summary:
Uncorrected energy   -3.36 eV/atom
V   1340.55 Å³ per cell

a = 11.4846 Å, b = 11.4846 Å, c = 11.7361 Å
α = 90.00°, β = 90.00°, γ = 120.00°
Space group R-3 (No. 148, hexagonal axes)
One atom of each set of equivalent atoms:
1 In 0.0658 0.2575 0.1288 (multiplicity 18)
2 Hg 0.0000 0.0000 0.5000 (multiplicity 3)
3 Se 0.0000 0.0000 0.1757 (multiplicity 6)
4 Se 0.0232 0.2815 0.6361 (multiplicity 18)



(6)
First-principles (GGA-PBE) data for a geometry-optimized USnGe2 structure, as listed in Alexandria.

Summary:
Energy above the lowest structure with this stoichiometry   860 meV per atom
Uncorrected energy   -5.50 eV/atom
V   398.75 Å³ per cell

a = 4.5282 Å, b = 4.5282 Å, c = 22.4550 Å
α = 90.00°, β = 90.00°, γ = 120.00°
Space group R-3m (No. 166, hexagonal axes)
One atom of each set of equivalent atoms:
1 U 0.0000 0.0000 0.0000 (multiplicity 3)
2 Sn 0.0000 0.0000 0.5000 (multiplicity 3)
3 Ge 0.0000 0.0000 0.3846 (multiplicity 6)



(7)
First-principles (GGA-PBE) data for a geometry-optimized KMnBeS3 structure, as listed in Alexandria.

Summary:
Uncorrected energy   -5.22 eV/atom
V   228.86 Å³ per cell

a = 8.262 Å, b = 3.470 Å, c = 8.853 Å
α = 90.00°, β = 115.62°, γ = 90.00°
Space group P2_1/m (No. 11)
One atom of each set of equivalent atoms:
1 K 0.203 0.250 0.239 (multiplicity 2)
2 Mn 0.368 0.750 0.888 (multiplicity 2)
3 Be 0.091 0.250 0.607 (multiplicity 2)
4 S 0.160 0.250 0.859 (multiplicity 2)
5 S 0.197 0.750 0.546 (multiplicity 2)
6 S 0.476 0.750 0.156 (multiplicity 2)



(8)
First-principles (GGA-PBE) data for a geometry-optimized Y3Mg2Tl structure, as listed in Alexandria.

Summary:
Energy above the lowest structure with this stoichiometry   0 meV per atom
Uncorrected energy   -4.38 eV/atom
V   163.46 Å³ per cell

a = 5.3580 Å, b = 5.3580 Å, c = 6.5746 Å
α = 90.00°, β = 90.00°, γ = 120.00°
Space group P-3m1 (No. 164)
One atom of each set of equivalent atoms:
1 Y 0.0000 0.0000 0.0000 (multiplicity 1)
2 Y 0.3333 0.6667 0.6663 (multiplicity 2)
3 Mg 0.3333 0.6667 0.1510 (multiplicity 2)
4 Tl 0.0000 0.0000 0.5000 (multiplicity 1)



- What is the uncorrected energy in the second record?
  -5.58 eV/atom



- Among the records above, which one has the lowest uncorrected energy?
  YGe2O



- Which of these has the highest uncorrected energy?
  SrCd4In